# CoGeNF2, relaxed, DFT PBE with a Hubbard U
data_CoGeNF2
_space_group_name_H-M_alt 'P 1'
_space_group_IT_number 1
_space_group_name_Hall 'P 1'
_cell_length_a 4.005
_cell_length_b 4.005
_cell_length_c 3.793
_cell_angle_alpha 90.00
_cell_angle_beta 90.00
_cell_angle_gamma 90.00
loop_
_atom_site_label
_atom_site_type_symbol
_atom_site_fract_x
_atom_site_fract_y
_atom_site_fract_z
Ge1 Ge 0.500 0.500 0.500
N1 N 0.000 0.000 0.500
Co1 Co 0.000 0.000 0.000
F1 F 0.000 0.500 0.000
F2 F 0.500 0.000 0.000
# Density, g/cm³: 5.0
# Total energy, eV/atom: -4.811
# Fermi-level density of states, states/eV/f.u.: 1.691